This record from the Alexandria database describes ReAsP2 after structural relaxation. The functional is PBE.

Results
theoretical density: 7.9 Mg/m³
total moment: 0.00 μB per atom
energy of formation: 0.11 eV/atom
SG: Amm2

Cell: 4.374 4.258 4.259 Å, 59.50 90.00 90.00°
Atoms (fractional coordinates):
Re (0.000, 0.452, 0.452)
As (0.500, 0.651, 0.651)
P (0.000, 0.095, 0.095)
P (0.500, 0.302, 0.302)